1.
Below is crystalline Nd2Dy4In at its relaxed geometry, with properties calculated at the PBE level.

Values from the calculation:
For the density, the calculation gives 7.8 g/cm³. Its uncorrected energy is -4.3759 eV per atom. For the energy above the most stable polymorph in this dataset, the calculation gives 0.517 eV per formula unit.

```
Nd2Dy4In
1.0
6.511 0.000 0.000
0.000 11.926 0.000
-2.819 0.000 5.765
Nd Dy In
4 8 2
Direct
0.185 0.021 0.329
0.185 0.479 0.829
0.815 0.521 0.171
0.815 0.979 0.671
0.157 0.198 0.830
0.157 0.302 0.330
0.352 0.724 0.185
0.352 0.776 0.685
0.648 0.224 0.315
0.648 0.276 0.815
0.843 0.698 0.670
0.843 0.802 0.170
0.500 0.000 0.000
0.500 0.500 0.500
```

***

2.
Below is crystalline Nd3Dy12In at its relaxed geometry, with properties calculated at the PBE level.

Values from the calculation:
For the density, the calculation gives 8.3 g/cm³. Its uncorrected energy is -4.5577 eV per atom.

```
Nd3Dy12In
1.0
4.985 0.000 0.000
0.000 4.985 0.000
0.000 0.000 20.232
Nd Dy In
3 12 1
Direct
0.000 0.000 0.000
0.000 0.000 0.252
0.000 0.000 0.748
0.000 0.500 0.127
0.000 0.500 0.381
0.000 0.500 0.619
0.000 0.500 0.873
0.500 0.000 0.127
0.500 0.000 0.381
0.500 0.000 0.619
0.500 0.000 0.873
0.500 0.500 0.000
0.500 0.500 0.257
0.500 0.500 0.500
0.500 0.500 0.743
0.000 0.000 0.500
```

***

3.
Below is crystalline Nd4Dy9In11 at its relaxed geometry, with properties calculated at the PBE level.

Values from the calculation:
For the density, the calculation gives 8.3 g/cm³. Its uncorrected energy is -4.1775 eV per atom.

```
Nd4Dy9In11
1.0
8.052 -11.758 0.000
8.052 11.758 0.000
0.000 0.000 3.499
Nd Dy In
4 9 11
Direct
0.094 0.257 0.000
0.257 0.094 0.000
0.743 0.906 0.000
0.906 0.743 0.000
0.000 0.000 0.000
0.111 0.667 0.000
0.297 0.492 0.000
0.333 0.889 0.000
0.492 0.297 0.000
0.508 0.703 0.000
0.667 0.111 0.000
0.703 0.508 0.000
0.889 0.333 0.000
0.091 0.462 0.500
0.121 0.879 0.500
0.303 0.303 0.500
0.310 0.690 0.500
0.462 0.091 0.500
0.500 0.500 0.500
0.538 0.909 0.500
0.690 0.310 0.500
0.697 0.697 0.500
0.879 0.121 0.500
0.909 0.538 0.500
```

***

4.
Below is crystalline NdDy5In2 at its relaxed geometry, with properties calculated at the PBE level.

Values from the calculation:
For the density, the calculation gives 8.1 g/cm³. Its uncorrected energy is -4.3358 eV per atom.

```
NdDy5In2
1.0
-1.803 5.261 6.375
1.803 -5.261 6.375
1.803 5.261 -6.375
Nd Dy In
1 5 2
Direct
0.000 0.000 0.000
0.139 0.365 0.774
0.409 0.635 0.774
0.500 0.000 0.500
0.591 0.365 0.226
0.861 0.635 0.226
0.241 0.741 0.500
0.759 0.259 0.500
```